[1]
CsMg3C | GGA-PBE | relaxed

Cell and atoms, written as extended XYZ:
```
5
Lattice="4.953 0.000 0.000 0.000 4.953 0.000 0.000 0.000 4.953" Properties=species:S:1:pos:R:3 pbc="T T T"
Mg 0.000 0.000 2.476
Mg 2.476 0.000 0.000
Mg 0.000 2.476 0.000
C 0.000 0.000 0.000
Cs 2.476 2.476 2.476
```

Summary:
energy of formation from the pure elements = 4.2 eV/f.u.
space group = No. 221
E above lowest polymorph = 0.000 eV/atom

[2]
LiYIr2 | GGA-PBE | relaxed

Cell and atoms, written as extended XYZ:
```
4
Lattice="-1.095 0.100 -5.437 -3.236 -1.637 -4.197 -3.432 3.129 -1.543" Properties=species:S:1:pos:R:3 pbc="T T T"
Ir -6.061 1.501 -8.365
Ir -3.149 2.756 -1.576
Li -3.732 0.777 -5.356
Y -2.135 0.482 -3.013
```

Summary:
energy of formation from the pure elements = -1.1 eV/f.u.
space group = No. 8

[3]
Sm2Al3Au2 | GGA-PBE | relaxed

Cell and atoms, written as extended XYZ:
```
14
Lattice="4.237 0.000 -1.010 0.000 7.368 0.000 0.080 0.000 9.729" Properties=species:S:1:pos:R:3 pbc="T T T"
Sm 4.082 1.842 7.731
Sm 3.625 5.526 5.815
Sm 0.236 5.526 0.988
Sm 0.692 1.842 2.904
Au 1.371 0.370 5.749
Au 2.947 6.998 2.970
Au 2.947 4.054 2.970
Au 1.371 3.314 5.749
Al 0.986 5.526 4.134
Al 1.937 4.234 8.123
Al 3.332 1.842 4.585
Al 2.381 3.134 0.597
Al 2.381 0.550 0.597
Al 1.937 6.818 8.123
```

Summary:
energy of formation from the pure elements = -4.2 eV/f.u.
space group = No. 63
E above lowest polymorph = 0.064 eV/atom